(1)
! TaMnIn3, optimized geometry, DFT PBEsol; values from VASP
&SYSTEM
  ibrav = 0, nat = 5, ntyp = 3
/
ATOMIC_SPECIES
Ta 180.95 Ta.upf
Mn 54.94 Mn.upf
In 114.82 In.upf
ATOMIC_POSITIONS crystal
Ta 0.0000 0.0000 0.0000
Mn 0.5000 0.5000 0.5000
In 0.0000 0.5000 0.5000
In 0.5000 0.0000 0.5000
In 0.5000 0.5000 0.0000
CELL_PARAMETERS angstrom
4.8424 0.0000 0.0000
0.0000 4.8424 0.0000
0.0000 0.0000 4.8424
! - Symmetry: Pm-3m, No. 221

***

(2)
! Ta4MnIn, optimized geometry, DFT PBEsol; values from VASP
&SYSTEM
  ibrav = 0, nat = 6, ntyp = 3
/
ATOMIC_SPECIES
Ta 180.95 Ta.upf
Mn 54.94 Mn.upf
In 114.82 In.upf
ATOMIC_POSITIONS crystal
Ta 0.1250 0.1250 0.1250
Ta 0.1250 0.1250 0.6251
Ta 0.1250 0.6251 0.1250
Ta 0.6251 0.1250 0.1250
Mn 0.7500 0.7500 0.7500
In 0.5000 0.5000 0.5000
CELL_PARAMETERS angstrom
0.0000 3.8132 3.8132
3.8132 0.0000 3.8132
3.8132 3.8132 0.0000
! - Symmetry: F-43m, No. 216

***

(3)
! Mn2InTc, optimized geometry, DFT PBEsol; values from VASP
&SYSTEM
  ibrav = 0, nat = 4, ntyp = 3
/
ATOMIC_SPECIES
Mn 54.94 Mn.upf
In 114.82 In.upf
Tc 98.00 Tc.upf
ATOMIC_POSITIONS crystal
Mn 0.0000 0.5000 0.0000
Mn 0.5000 0.0000 0.0000
In 0.0000 0.0000 0.5000
Tc 0.5000 0.5000 0.5000
CELL_PARAMETERS angstrom
4.3998 0.0000 0.0000
0.0000 4.3998 0.0000
0.0000 0.0000 3.0125
! - Symmetry: P4/mmm, No. 123

***

no.,total DFT energy (no corrections) (eV per cell),energy of formation (eV per atom)
1,-25.8,1.091
2,-59.8,0.532
3,-32.3,0.364